[1]
The following is a GGA-PBE calculation of a geometry-optimized MnBi2Pb2 structure, from the Alexandria database.

Output
Calculated density, g/cm3: 10.5
Energy of formation, eV per formula unit: 2.34
Magnetic moment, μB/f.u.: 0.00

The structure in POSCAR format:
```
MnBi2Pb2
1.0
7.0100 0.0000 0.0000
0.0000 7.0100 0.0000
0.0000 0.0000 5.7174
Bi Mn Pb
4 2 4
direct
0.3404 0.8404 0.0000
0.8404 0.6596 0.0000
0.1596 0.3404 0.0000
0.6596 0.1596 0.0000
0.5000 0.5000 0.0000
0.0000 0.0000 0.0000
0.6736 0.8264 0.5000
0.8264 0.3264 0.5000
0.3264 0.1736 0.5000
0.1736 0.6736 0.5000
```


[2]
The following is a GGA-PBE calculation of a geometry-optimized MnBi2Pb structure, from the Alexandria database.

Output
Calculated density, g/cm3: 9.5
Energy of formation, eV per formula unit: 1.81
Magnetic moment, μB/f.u.: 4.43

The structure in POSCAR format:
```
MnBi2Pb
1.0
3.4173 0.0000 0.0000
1.7086 2.9594 0.0000
1.7086 0.9865 11.7756
Bi Mn Pb
2 1 1
direct
0.0796 0.0796 0.7613
0.9204 0.9204 0.2387
0.0000 0.0000 0.0000
0.5000 0.5000 0.5000
```


[3]
The following is a GGA-PBE calculation of a geometry-optimized MnBiPb2 structure, from the Alexandria database.

Output
Calculated density, g/cm3: 9.7
Energy of formation, eV per formula unit: 1.54
Magnetic moment, μB/f.u.: 4.33

The structure in POSCAR format:
```
MnBiPb2
1.0
-0.2646 4.2038 1.5236
-2.1237 -1.4613 3.6630
8.9883 0.0616 7.9745
Bi Pb Mn
2 4 2
direct
0.0000 0.0000 0.0000
0.7500 0.2500 0.5000
0.3750 0.3800 0.7500
0.1300 0.6250 0.2500
0.6200 0.1250 0.2500
0.8750 0.8700 0.7500
0.2500 0.7500 0.5000
0.5000 0.5000 0.0000
```


[4]
The following is a GGA-PBE calculation of a geometry-optimized Mn3BiPb structure, from the Alexandria database.

Output
Calculated density, g/cm3: 7.0
Energy of formation, eV per formula unit: 5.30
Magnetic moment, μB/f.u.: 11.98
Excess energy over the best structure of this formula in the dataset, meV per atom: 0

The structure in POSCAR format:
```
Mn3BiPb
1.0
5.1757 0.0000 0.0000
0.0000 5.1757 0.0000
0.0000 0.0000 5.1757
Mn Bi Pb
3 1 1
direct
0.0000 0.0000 0.5000
0.5000 0.0000 0.0000
0.0000 0.5000 0.0000
0.0000 0.0000 0.0000
0.5000 0.5000 0.5000
```


Number 1: N(E_F) 5.58 states/eV/f.u., V 28.10 Å³/atom. Number 2: N(E_F) 3.23 states/eV/f.u., V 29.77 Å³/atom. Number 3: N(E_F) 2.80 states/eV/f.u., V 29.07 Å³/atom. Number 4: N(E_F) 5.26 states/eV/f.u., V 27.73 Å³/atom.